Compound: CoHOs2
Source: Alexandria via LeMat-Bulk
Functional: GGA-PBE
Structure: relaxed

Cell: 5.6411 5.6411 5.6411 Å, 90.00 90.00 90.00°
Space group Fm-3m (No. 225)
Symmetry-distinct sites (fractional):
Co: 0.0000 0.0000 0.0000 x4
H: 0.0000 0.0000 0.5000 x4
Os: 0.2500 0.2500 0.2500 x8

Summary:
E_tot, eV/atom: -7.44
Calculated density, g/cm³: 16.30

***

Compound: Ce6CdPb5
Source: Alexandria via LeMat-Bulk
Functional: GGA-PBE
Structure: relaxed

Cell: 5.0528 9.1421 15.1713 Å, 90.00 90.00 90.00°
Space group Immm (No. 71)
Symmetry-distinct sites (fractional):
Ce: 0.0000 0.2488 0.0000 x4
Ce: 0.0000 0.2508 0.3328 x8
Cd: 0.0000 0.5000 0.5000 x2
Pb: 0.0000 0.0000 0.1616 x4
Pb: 0.0000 0.0000 0.5000 x2
Pb: 0.0000 0.5000 0.1654 x4

Summary:
E_tot, eV/atom: -4.95
Calculated density, g/cm³: 9.43

***

Compound: TbIn3Hg3
Source: Alexandria via LeMat-Bulk
Functional: GGA-PBE
Structure: relaxed

Cell: 7.8527 7.8527 7.8527 Å, 90.00 90.00 90.00°
Space group Pm-3n (No. 223)
Symmetry-distinct sites (fractional):
Tb: 0.0000 0.0000 0.0000 x2
In: 0.0000 0.2500 0.5000 x6
Hg: 0.0000 0.5000 0.2500 x6

Summary:
E_tot, eV/atom: -1.57
Calculated density, g/cm³: 7.58

***

Compound: Nd12Ga6Ni
Source: Alexandria via LeMat-Bulk
Functional: GGA-PBE
Structure: relaxed

Cell: 11.9425 11.9425 13.5410 Å, 90.00 90.00 120.00°
Space group R-3 (No. 148, hexagonal axes)
Symmetry-distinct sites (fractional):
Nd: 0.0390 0.8398 0.3781 x18
Nd: 0.0401 0.1983 0.8903 x18
Ga: 0.0033 0.4030 0.7568 x18
Ni: 0.0000 0.0000 0.5000 x3

Summary:
E_tot, eV/atom: -4.56
Calculated density, g/cm³: 6.58

***

Summary of volume in Å³ per cell
180, 701, 484, 1673
(order as listed above)